# 1
The following is a PBE-GGA calculation of crystalline NpH16N4F8 at its relaxed geometry, from OQMD.

Structure (POSCAR):
```
NpH16N4F8
1.0
6.3748 -3.1913 0.0000
6.3748 3.1913 0.0000
-5.8307 0.0000 11.1067
Np H N F
2 32 8 16
Direct
0.0600 0.9400 0.7500
0.9400 0.0600 0.2500
0.0447 0.2978 0.0189
0.0816 0.5085 0.1424
0.1458 0.6208 0.3637
0.1568 0.4271 0.4123
0.1625 0.2466 0.1593
0.2466 0.1625 0.6593
0.2492 0.3286 0.5967
0.2784 0.5992 0.5083
0.2978 0.0447 0.5189
0.3286 0.2492 0.0967
0.3736 0.4118 0.8929
0.3792 0.8542 0.1363
0.4008 0.7216 0.9917
0.4118 0.3736 0.3929
0.4271 0.1568 0.9123
0.4915 0.9184 0.3576
0.5085 0.0816 0.6424
0.5729 0.8432 0.0877
0.5882 0.6264 0.6071
0.5992 0.2784 0.0083
0.6208 0.1458 0.8637
0.6264 0.5882 0.1071
0.6714 0.7508 0.9033
0.7022 0.9553 0.4811
0.7216 0.4008 0.4917
0.7508 0.6714 0.4033
0.7534 0.8375 0.3407
0.8375 0.7534 0.8407
0.8432 0.5729 0.5877
0.8542 0.3792 0.6363
0.9184 0.4915 0.8576
0.9553 0.7022 0.9811
0.1544 0.3266 0.1031
0.2506 0.5029 0.4206
0.3266 0.1544 0.6031
0.4971 0.7494 0.0794
0.5029 0.2506 0.9206
0.6734 0.8456 0.3969
0.7494 0.4971 0.5794
0.8456 0.6734 0.8969
0.0542 0.6284 0.6037
0.0809 0.2499 0.7499
0.1339 0.7395 0.1112
0.2191 0.6614 0.8528
0.2499 0.0809 0.2499
0.2605 0.8661 0.3888
0.3386 0.7809 0.6472
0.3716 0.9458 0.8963
0.6284 0.0542 0.1037
0.6614 0.2191 0.3528
0.7395 0.1339 0.6112
0.7501 0.9191 0.7501
0.7809 0.3386 0.1472
0.8661 0.2605 0.8888
0.9191 0.7501 0.2501
0.9458 0.3716 0.3963
```

Values from the calculation:
symmetry: C2/c, No. 15



# 2
The following is a PBE-GGA calculation of crystalline FePdBr7 at its relaxed geometry, from OQMD.

Structure (POSCAR):
```
FePdBr7
1.0
6.7935 0.0000 0.0000
0.0000 6.3890 0.0000
-3.9212 0.0000 14.1395
Fe Pd Br
2 2 14
Direct
0.0000 0.0046 0.0000
0.0000 0.9954 0.5000
0.2590 0.3842 0.6376
0.2590 0.6158 0.1376
0.1952 0.4042 0.2641
0.1952 0.5958 0.7641
0.3230 0.1498 0.5034
0.3230 0.8502 0.0034
0.5010 0.1730 0.7616
0.5010 0.8270 0.2616
0.5462 0.3973 0.1290
0.5462 0.6027 0.6290
0.7569 0.1293 0.3673
0.7569 0.8707 0.8673
0.9525 0.1476 0.6417
0.9525 0.8524 0.1417
0.9853 0.3687 0.9968
0.9853 0.6313 0.4968
```

Values from the calculation:
symmetry: Pc, No. 7



# 3
The following is a PBE-GGA calculation of crystalline Ho6ZnNi2 at its relaxed geometry, from OQMD.

Structure (POSCAR):
```
Ho6ZnNi2
1.0
-4.6036 4.7440 4.9453
4.6036 -4.7440 4.9453
4.6036 4.7440 -4.9453
Ho Zn Ni
12 2 4
Direct
0.0454 0.2382 0.8072
0.1800 0.2825 0.4625
0.1800 0.7175 0.8976
0.3257 0.0185 0.6929
0.3257 0.6328 0.3071
0.4310 0.2382 0.1928
0.5690 0.7618 0.8072
0.6743 0.3672 0.6929
0.6743 0.9815 0.3071
0.8200 0.2825 0.1024
0.8200 0.7175 0.5375
0.9546 0.7618 0.1928
0.0000 0.0000 0.0000
0.5000 0.5000 0.0000
0.1206 0.6206 0.5000
0.3463 0.0000 0.3463
0.6537 0.0000 0.6537
0.8794 0.3794 0.5000
```

Values from the calculation:
symmetry: Immm, No. 71
formation energy: -306 meV/atom



| no. | calculated total energy (eV/atom) |
| --- | --- |
| 1 | -5.327 |
| 2 | -3.052 |
| 3 | -4.735 |